DFT (PBE+U) results for a geometry-optimized TaMnNi2O6 structure.

Output
* uncorrected energy: -0.5307 Ry/atom
* calculated volume: 108.4 Å³/f.u.
* space-group type: P1 (1)
* density: 6.88 g/cm³
* total magnetization: 8.0 μB per formula unit

Lattice parameters (Å, degrees): 5.234 5.174 5.487 62.75 63.54 58.48
Last column: magnetic moment on the atom in μB.
Sites, in units of the cell vectors:
Ta (0.313, 0.322, 0.052)  0.07
Mn (0.812, 0.818, 0.552)  3.92
Ni (0.519, 0.522, 0.446)  1.77
Ni (0.020, 0.024, 0.938)  1.77
O (0.600, 0.209, 0.260)  0.02
O (0.239, 0.939, 0.229)  0.07
O (0.935, 0.594, 0.266)  0.04
O (0.416, 0.700, 0.763)  0.10
O (0.714, 0.101, 0.752)  0.03
O (0.095, 0.434, 0.758)  0.03